Record 1
Entry from the Alexandria database: a relaxed structure of Ac8GaNi2 (PBE).

a = 8.941 Å, b = 14.224 Å, c = 6.523 Å
α = 90.00°, β = 106.11°, γ = 90.00°
Space group Cm (No. 8)
Asymmetric unit:
Ac 0.000 0.000 0.000 [2 per cell]
Ac 0.081 0.368 0.772 [4 per cell]
Ac 0.147 0.133 0.576 [4 per cell]
Ac 0.240 0.500 0.377 [2 per cell]
Ac 0.355 0.222 0.178 [4 per cell]
Ga 0.369 0.000 0.355 [2 per cell]
Ni 0.369 0.295 0.696 [4 per cell]

Output
- Mass density: 8.3 Mg/m³
- Calculated formation energy: -0.06 eV per atom
- M_tot: 0.00 μB/f.u.
- Density of states at the Fermi level: 1.22 states/eV per atom
- E_tot: -4.374 eV/atom

=====

Record 2
Entry from the Alexandria database: a relaxed structure of Pr3In3Hg2 (PBE).

a = 4.861 Å, b = 11.565 Å, c = 16.042 Å
α = 90.00°, β = 90.00°, γ = 90.00°
Space group Cmcm (No. 63)
Asymmetric unit:
Pr 0.000 0.086 0.110 [8 per cell]
Pr 0.000 0.348 0.250 [4 per cell]
In 0.000 0.369 0.750 [4 per cell]
In 0.000 0.386 0.040 [8 per cell]
Hg 0.000 0.208 0.607 [8 per cell]

Output
- Mass density: 8.6 Mg/m³
- ΔE to the lowest computed polymorph: 0 kJ/mol of formula units
- Calculated formation energy: -0.47 eV per atom
- M_tot: 0.01 μB/f.u.
- Density of states at the Fermi level: 0.74 states/eV per atom
- E_tot: -3.364 eV/atom

=====

Record 3
Entry from the Alexandria database: a relaxed structure of MnGa2PH (PBE).

a = 4.980 Å, b = 4.980 Å, c = 4.567 Å
α = 90.00°, β = 90.00°, γ = 90.00°
Space group P4/mmm (No. 123)
Asymmetric unit:
Mn 0.000 0.000 0.000 [1 per cell]
Ga 0.000 0.500 0.500 [2 per cell]
P 0.000 0.000 0.500 [1 per cell]
H 0.500 0.500 0.000 [1 per cell]

Output
- Mass density: 3.3 Mg/m³
- M_tot: 3.62 μB/f.u.
- Density of states at the Fermi level: 0.72 states/eV per atom
- E_tot: -4.018 eV/atom

=====

Record 4
Entry from the Alexandria database: a relaxed structure of Ca2WCl (PBE).

a = 7.440 Å, b = 7.440 Å, c = 7.440 Å
α = 90.00°, β = 90.00°, γ = 90.00°
Space group F-43m (No. 216)
Asymmetric unit:
Ca 0.000 0.000 0.000 [4 per cell]
Ca 0.250 0.250 0.250 [4 per cell]
W 0.000 0.000 0.500 [4 per cell]
Cl 0.250 0.250 0.750 [4 per cell]

Output
- Mass density: 4.8 Mg/m³
- ΔE_f (raw): 0.8657 eV per atom
- ΔE to the lowest computed polymorph: 394 kJ/mol of formula units
- M_tot: 2.99 μB/f.u.
- Density of states at the Fermi level: 0.63 states/eV per atom
- E_tot: -3.835 eV/atom

=====

Record 5
Entry from the Alexandria database: a relaxed structure of MoSeCl2 (PBE).

a = 4.858 Å, b = 13.827 Å, c = 3.248 Å
α = 90.00°, β = 90.00°, γ = 90.00°
Space group Cmmm (No. 65)
Asymmetric unit:
Mo 0.000 0.000 0.000 [2 per cell]
Se 0.000 0.500 0.000 [2 per cell]
Cl 0.000 0.134 0.500 [4 per cell]

Output
- Mass density: 3.7 Mg/m³
- ΔE_f (raw): -0.5128 eV per atom
- ΔE to the lowest computed polymorph: 20 kJ/mol of formula units
- M_tot: 0.40 μB/f.u.
- Density of states at the Fermi level: 0.70 states/eV per atom
- E_tot: -5.015 eV/atom

=====

Record 6
Entry from the Alexandria database: a relaxed structure of KLi2Os (PBE).

a = 2.623 Å, b = 5.270 Å, c = 10.871 Å
α = 90.00°, β = 90.00°, γ = 90.00°
Space group Imm2 (No. 44)
Asymmetric unit:
K 0.000 0.000 0.000 [2 per cell]
Li 0.000 0.000 0.516 [2 per cell]
Li 0.000 0.500 0.766 [2 per cell]
Os 0.000 0.500 0.221 [2 per cell]

Output
- Mass density: 5.4 Mg/m³
- ΔE to the lowest computed polymorph: 48 kJ/mol of formula units
- Calculated formation energy: 0.69 eV per atom
- M_tot: 0.00 μB/f.u.
- Density of states at the Fermi level: 0.40 states/eV per atom
- E_tot: -3.345 eV/atom

=====

Record 7
Entry from the Alexandria database: a relaxed structure of Tl2CrCl (PBE).

a = 5.195 Å, b = 5.475 Å, c = 9.564 Å
α = 89.96°, β = 74.41°, γ = 62.33°
Space group P-1 (No. 2)
Asymmetric unit:
Tl 0.089 0.016 0.323 [2 per cell]
Tl 0.378 0.812 0.942 [2 per cell]
Cr 0.013 0.572 0.916 [2 per cell]
Cl 0.248 0.327 0.670 [2 per cell]

Output
- Mass density: 7.2 Mg/m³
- ΔE_f (raw): 0.0092 eV per atom
- ΔE to the lowest computed polymorph: 34 kJ/mol of formula units
- M_tot: 0.00 μB/f.u.
- Density of states at the Fermi level: 0.47 states/eV per atom
- E_tot: -4.041 eV/atom

=====

Record 8
Entry from the Alexandria database: a relaxed structure of Zr2Ti2Te7 (PBE).

a = 8.187 Å, b = 12.281 Å, c = 7.528 Å
α = 90.00°, β = 93.39°, γ = 90.00°
Space group C2/m (No. 12)
Asymmetric unit:
Zr 0.000 0.149 0.000 [4 per cell]
Ti 0.219 0.000 0.641 [4 per cell]
Te 0.000 0.500 0.500 [2 per cell]
Te 0.114 0.000 0.275 [4 per cell]
Te 0.218 0.308 0.209 [8 per cell]

Output
- Mass density: 5.1 Mg/m³
- ΔE_f (raw): -0.5499 eV per atom
- M_tot: 0.00 μB/f.u.
- Density of states at the Fermi level: 0.66 states/eV per atom
- E_tot: -5.539 eV/atom